Here is crystalline Zr2InRe at its relaxed geometry from Alexandria. Energies are from PBE.

Summary:
Uncorrected energy in eV per atom: -7.7478
Size of the total moment in Bohr magnetons per cell: 0.00
Calculated volume in A^3/atom: 22.01
Theoretical density in g/cm³: 9.118
DFT formation energy in eV per formula unit: 1.29

```
data_Zr2InRe
_symmetry_space_group_name_H-M 'I -4 2 d'
_symmetry_Int_Tables_number 122
_symmetry_space_group_name_Hall 'I -4 2bw'
_cell_length_a 7.813
_cell_length_b 7.813
_cell_length_c 5.769
_cell_angle_alpha 90.00
_cell_angle_beta 90.00
_cell_angle_gamma 90.00
loop_
_atom_site_label
_atom_site_type_symbol
_atom_site_fract_x
_atom_site_fract_y
_atom_site_fract_z
Zr1 Zr 0.204 0.250 0.125
In1 In 0.000 0.000 0.500
Re1 Re 0.000 0.000 0.000
```



Here is crystalline ZrIn2Re at its relaxed geometry from Alexandria. Energies are from PBE.

Summary:
Uncorrected energy in eV per atom: -6.3461
Size of the total moment in Bohr magnetons per cell: 0.00
Calculated volume in A^3/atom: 19.76
Theoretical density in g/cm³: 10.655
ΔE to the lowest computed polymorph in meV/atom: 175
DFT formation energy in eV per formula unit: 1.09

```
data_ZrIn2Re
_symmetry_space_group_name_H-M 'C 1 2/m 1'
_symmetry_Int_Tables_number 12
_symmetry_space_group_name_Hall '-C 2y'
_cell_length_a 5.867
_cell_length_b 9.466
_cell_length_c 2.944
_cell_angle_alpha 90.00
_cell_angle_beta 104.87
_cell_angle_gamma 90.00
loop_
_atom_site_label
_atom_site_type_symbol
_atom_site_fract_x
_atom_site_fract_y
_atom_site_fract_z
Zr1 Zr 0.000 0.000 0.000
In1 In 0.250 0.250 0.500
Re1 Re 0.000 0.500 0.000
```